No. 1
! Cu2AgPt (PBE, optimized geometry); values from VASP
&SYSTEM
  ibrav = 0, nat = 4, ntyp = 3
/
ATOMIC_SPECIES
Cu 63.55 Cu.upf
Ag 107.87 Ag.upf
Pt 195.08 Pt.upf
CELL_PARAMETERS angstrom
-1.660 0.147 4.030
-1.386 -3.661 1.922
2.232 -1.688 3.341
ATOMIC_POSITIONS crystal
Cu 0.000 0.000 0.000
Cu 0.250 0.250 0.250
Ag 0.500 0.500 0.500
Pt 0.750 0.750 0.750
! - Crystal system: cubic

No. 2
! Cu2AgPt (PBE, optimized geometry); values from VASP
&SYSTEM
  ibrav = 0, nat = 4, ntyp = 3
/
ATOMIC_SPECIES
Cu 63.55 Cu.upf
Ag 107.87 Ag.upf
Pt 195.08 Pt.upf
CELL_PARAMETERS angstrom
4.935 0.015 0.183
4.087 2.765 0.183
1.276 0.393 4.270
ATOMIC_POSITIONS crystal
Cu 0.013 0.013 0.026
Cu 0.740 0.740 0.719
Ag 0.259 0.259 0.207
Pt 0.488 0.488 0.548
! - Crystal system: monoclinic

In order of appearance, formation energy from the elements = 68 -37 meV per atom.
In order of appearance, DFT total energy = -0.3089 -0.3166 Ry per atom.